(1)
GGA-PBE CdGaH2Os, relaxed; E_tot = -3.82 eV per atom
1.0
3.722 0.000 0.000
0.000 4.881 0.000
0.000 0.000 3.722
H Cd Os Ga
2 1 1 1
Cartesian
1.861 0.000 0.000
0.000 0.000 1.861
1.861 2.440 1.861
0.000 0.000 0.000
0.000 2.440 0.000

***

(2)
GGA-PBE Cd2GaHPt6, relaxed; E_tot = -4.69 eV per atom
1.0
-0.257 5.463 -0.569
-4.238 0.151 5.377
4.892 -2.224 1.142
Cd Ga Pt H
2 1 6 1
Cartesian
-0.939 0.673 3.903
1.299 2.821 1.726
2.632 0.630 3.371
1.334 -0.325 5.328
3.932 1.510 1.343
1.261 2.399 4.548
-0.884 1.079 1.032
1.708 -0.044 1.070
-1.258 3.508 4.468
0.015 -0.332 1.717

***

(3)
GGA-PBE Cd3GaH2Pt9, relaxed; E_tot = -4.61 eV per atom
1.0
5.663 0.000 0.000
-2.831 4.904 0.000
0.000 0.000 8.460
Pt Cd H Ga
9 3 2 1
Cartesian
1.393 4.074 2.398
-1.393 4.074 2.398
2.831 0.000 0.000
0.000 1.661 2.398
1.416 2.452 0.000
2.831 3.244 6.062
1.438 0.830 6.062
-1.416 2.452 0.000
4.225 0.830 6.062
2.831 1.635 3.320
0.000 0.000 0.000
0.000 3.270 5.140
0.000 3.270 0.834
2.831 1.635 7.625
0.000 0.000 4.230

***

(4)
GGA-PBE CdGaH2Ru, relaxed; E_tot = -3.45 eV per atom
1.0
-1.788 2.666 -1.452
-3.622 -3.804 -2.524
-2.102 0.128 2.824
Ga H Cd Ru
1 2 1 1
Cartesian
-3.756 -0.505 -0.576
-0.894 1.333 -0.726
-1.051 0.064 1.412
0.000 0.000 0.000
-1.811 -1.902 -1.262

***

(5)
GGA-PBE ScCdGa2H, relaxed; E_tot = -3.52 eV per atom
1.0
4.360 0.000 0.000
0.000 4.360 0.000
0.000 0.000 4.133
Ga H Sc Cd
2 1 1 1
Cartesian
0.000 2.180 0.000
2.180 0.000 0.000
0.000 0.000 0.000
0.000 0.000 2.066
2.180 2.180 2.066

***

(6)
GGA-PBE Sc2CdGaH, relaxed; E_tot = -4.33 eV per atom; E above lowest polymorph = 0.00 kJ/mol of atoms
1.0
-2.946 -1.340 2.920
3.095 -2.249 2.090
0.863 3.481 2.468
Cd Sc H Ga
1 2 1 1
Cartesian
0.431 1.740 1.234
-1.473 -0.670 1.460
1.547 -1.124 1.045
0.000 0.000 0.000
0.506 -0.054 3.739

***

| no. | ρ (g cm⁻³) | magnetic moment (μB per formula unit) |
| --- | --- | --- |
| 1 | 9.192 | 0.00 |
| 2 | 15.021 | 0.00 |
| 3 | 15.300 | 0.00 |
| 4 | 6.547 | 0.00 |
| 5 | 6.297 | 0.00 |
| 6 | 5.482 | 1.07 |